The following is a DFT calculation (PBE) of crystalline Pu2NiSn at its relaxed geometry.

For the energy relative to the elements, the calculation gives -0.01 eV per atom. As for the space group: R-3m (166).

Unit cell a=9.1496 b=9.1496 c=9.1496 alpha=22.34 beta=22.34 gamma=22.34
Last column: nearest neighbours and their distance in Å.
Positions (direct):
Pu 0.2349 0.2349 0.2349  3 Ni 2.74
Pu 0.7651 0.7651 0.7651  3 Ni 2.74
Ni 0.5000 0.5000 0.5000  6 Pu 2.74
Sn 0.0000 0.0000 0.0000  6 Pu 3.34, 6 Sn 3.54

---

The following is a DFT calculation (PBE) of crystalline PSBr3 at its relaxed geometry.

The formation energy from raw total energies comes out at -16 kJ/mol of formula units. As for the distance to the lowest polymorph of the same formula: 0 meV/atom. As for the space group: Ima2 (46).

Unit cell a=8.7477 b=8.7477 c=8.7477 alpha=127.21 beta=79.41 gamma=125.38
Last column: nearest neighbours and their distance in Å.
Positions (direct):
P 0.2416 0.2500 0.4916  2 S 2.18-2.31, 3 Br 2.29-2.36
P 0.7584 0.7500 0.5084  2 S 2.18-2.31, 3 Br 2.29-2.36
S 0.0899 0.0164 0.5735  2 P 2.18-2.31
S 0.4429 0.5164 0.4265  2 P 2.18-2.31
Br 0.1049 0.4479 0.6462  1 P 2.29
Br 0.1049 0.9587 0.1570  1 P 2.29
Br 0.4930 0.3335 0.6595  1 P 2.36
Br 0.6739 0.8335 0.3405  1 P 2.36
Br 0.8017 0.4587 0.3538  1 P 2.29
Br 0.8017 0.9479 0.8430  1 P 2.29

---

The following is a DFT calculation (PBE) of crystalline NaTl3Hg3 at its relaxed geometry.

For the energy relative to the elements, the calculation gives -0.06 eV per atom. As for the distance to the lowest polymorph of the same formula: 0 meV/atom. As for the space group: Cmmm (65).

Unit cell a=7.6681 b=7.6681 c=7.0538 alpha=90.00 beta=90.00 gamma=93.40
Last column: nearest neighbours and their distance in Å.
Positions (direct):
Na 0.2411 0.7589 0.0000  6 Hg 3.14-3.41
Na 0.7589 0.2411 0.0000  6 Hg 3.14-3.41
Tl 0.2107 0.2107 0.5000  6 Hg 3.35-3.49, 4 Tl 3.54-3.60
Tl 0.2391 0.2391 0.0000  6 Hg 3.28-3.29, 2 Tl 3.54
Tl 0.2542 0.7458 0.5000  6 Hg 3.19-3.24, 2 Na 3.53
Tl 0.7458 0.2542 0.5000  6 Hg 3.19-3.24, 2 Na 3.53
Tl 0.7609 0.7609 0.0000  6 Hg 3.28-3.29, 2 Tl 3.54
Tl 0.7893 0.7893 0.5000  6 Hg 3.35-3.49, 4 Tl 3.54-3.60
Hg 0.0000 0.5000 0.2429  2 Na 3.14, 6 Tl 3.19-3.35, 1 Hg 3.43
Hg 0.0000 0.5000 0.7571  2 Na 3.14, 6 Tl 3.19-3.35, 1 Hg 3.43
Hg 0.5000 0.0000 0.2429  2 Na 3.14, 6 Tl 3.19-3.35, 1 Hg 3.43
Hg 0.5000 0.0000 0.7571  2 Na 3.14, 6 Tl 3.19-3.35, 1 Hg 3.43
Hg 0.5000 0.5000 0.2565  6 Tl 3.24-3.49, 2 Na 3.41, 2 Hg 3.44-3.62
Hg 0.5000 0.5000 0.7435  6 Tl 3.24-3.49, 2 Na 3.41, 2 Hg 3.44-3.62

---

The following is a DFT calculation (PBE) of crystalline Pm2PaSi at its relaxed geometry.

The formation energy from raw total energies comes out at -32 kJ/mol of formula units. As for the distance to the lowest polymorph of the same formula: 0 meV/atom. As for the space group: P4/mmm (123).

Unit cell a=3.7960 b=3.7960 c=7.1043 alpha=90.00 beta=90.00 gamma=90.00
Last column: nearest neighbours and their distance in Å.
Positions (direct):
Pm 0.0000 0.0000 0.2155  1 Pm 3.06, 4 Si 3.09, 4 Pa 3.36
Pm 0.0000 0.0000 0.7845  1 Pm 3.06, 4 Si 3.09, 4 Pa 3.36
Pa 0.5000 0.5000 0.5000  8 Pm 3.36, 2 Si 3.55
Si 0.5000 0.5000 0.0000  8 Pm 3.09

---

The following is a DFT calculation (PBE) of crystalline YGaS2 at its relaxed geometry.

The formation energy from raw total energies comes out at -461 kJ/mol of formula units. As for the space group: R-3m (166).

Unit cell a=8.5213 b=8.5213 c=8.5213 alpha=27.18 beta=27.18 gamma=27.18
Last column: nearest neighbours and their distance in Å.
Positions (direct):
Y 0.0000 0.0000 0.0000  6 S 2.74
Ga 0.5000 0.5000 0.5000  2 S 2.63
S 0.3932 0.3932 0.3932  1 Ga 2.63, 3 Y 2.74
S 0.6068 0.6068 0.6068  1 Ga 2.63, 3 Y 2.74

---

The following is a DFT calculation (PBE) of crystalline TaAsPt2 at its relaxed geometry.

For the energy relative to the elements, the calculation gives -0.34 eV per atom. As for the space group: Imm2 (44).

Unit cell a=4.8577 b=4.8577 c=4.8577 alpha=134.19 beta=124.71 gamma=74.54
Last column: nearest neighbours and their distance in Å.
Positions (direct):
Ta 0.0000 0.0000 0.0000  2 As 2.62, 2 Pt 2.77
As 0.2337 0.7337 0.5000  2 Pt 2.47, 2 Ta 2.62
Pt 0.4390 0.4390 0.0000  2 As 2.47
Pt 0.7091 0.2091 0.5000  4 Ta 2.77-2.94, 4 Pt 2.82-2.87, 4 As 2.95

---

The following is a DFT calculation (PBE) of crystalline Cr2IrRh at its relaxed geometry.

For the energy relative to the elements, the calculation gives 0.05 eV per atom. As for the space group: R3m (160).

Unit cell a=8.7399 b=8.7399 c=8.7399 alpha=17.60 beta=17.60 gamma=17.60
Last column: nearest neighbours and their distance in Å.
Positions (direct):
Cr 0.0000 0.0000 0.0000  3 Rh 2.53, 9 Cr 2.65-2.67
Cr 0.2499 0.2499 0.2499  3 Ir 2.54, 9 Cr 2.65-2.67
Ir 0.5051 0.5051 0.5051  3 Cr 2.54, 6 Ir 2.67
Rh 0.7443 0.7443 0.7443  3 Cr 2.53, 6 Rh 2.67

---

The following is a DFT calculation (PBE) of crystalline Zn2B2Ir at its relaxed geometry.

For the energy relative to the elements, the calculation gives 0.14 eV per atom. As for the distance to the lowest polymorph of the same formula: 0 meV/atom. As for the space group: P4/mbm (127).

Unit cell a=5.6327 b=5.6327 c=3.4992 alpha=90.00 beta=90.00 gamma=90.00
Last column: nearest neighbours and their distance in Å.
Positions (direct):
Zn 0.1867 0.3133 0.0000  6 B 2.41-2.44, 4 Ir 2.70
Zn 0.3133 0.8133 0.0000  6 B 2.41-2.44, 4 Ir 2.70
Zn 0.6867 0.1867 0.0000  6 B 2.41-2.44, 4 Ir 2.70
Zn 0.8133 0.6867 0.0000  6 B 2.41-2.44, 4 Ir 2.70
B 0.1049 0.6049 0.5000  1 B 1.67
B 0.3951 0.1049 0.5000  1 B 1.67
B 0.6049 0.8951 0.5000  1 B 1.67
B 0.8951 0.3951 0.5000  1 B 1.67
Ir 0.0000 0.0000 0.5000  4 B 2.30
Ir 0.5000 0.5000 0.5000  4 B 2.30

---

Total energy readings, ordered: -9.618 -2.945 -1.392 -6.188 -5.631 -7.482 -8.811 -4.809 eV/atom